A plane-wave DFT calculation with PBE with a Hubbard U was carried out for crystalline FeH12C4S4O6 at its relaxed geometry.

a b c (Å): 7.320 7.428 7.635
angles (deg): 68.26 67.21 74.11
Each line ends with the local moment (μB).
Positions (direct):
C: 0.901 0.061 0.610  0.00
C: 0.899 0.055 0.422  0.00
S: 0.751 0.151 0.795  0.01
H: 0.201 0.310 0.726  0.00
S: 0.749 0.136 0.284  0.01
O: 0.785 0.585 0.908  0.00
H: 0.799 0.690 0.274  0.00
C: 0.101 0.945 0.578  0.00
H: 0.748 0.637 0.786  0.00
C: 0.099 0.939 0.390  0.00
O: 0.312 0.376 0.466  0.00
S: 0.249 0.849 0.205  0.01
O: 0.117 0.276 0.870  0.02
H: 0.107 0.527 0.112  0.00
H: 0.548 0.691 0.574  0.00
S: 0.251 0.864 0.716  0.01
O: 0.883 0.724 0.130  0.02
Fe: 0.000 0.000 0.000  3.74
H: 0.252 0.363 0.214  0.00
H: 0.318 0.517 0.399  0.00
H: 0.682 0.483 0.601  0.00
H: 0.175 0.312 0.950  0.00
H: 0.452 0.309 0.426  0.00
O: 0.215 0.415 0.092  0.00
H: 0.825 0.688 0.050  0.00
O: 0.688 0.624 0.534  0.00
H: 0.893 0.473 0.888  0.00

Output
Fermi-level density of states: 0.000 states/eV/cell
Crystal system: triclinic
E_tot: -0.3966 Ry per atom